# meta-GGA SCAN FeAgSb2, single point on PBEsol structure
data_FeAgSb2
_chemical_formula_sum 'Fe1 Ag1 Sb2'
_cell_length_a 3.159
_cell_length_b 3.159
_cell_length_c 9.669
_cell_angle_alpha 80.60
_cell_angle_beta 80.60
_cell_angle_gamma 60.00
_symmetry_space_group_name_H-M 'P 1'
_symmetry_Int_Tables_number 1
loop_
_symmetry_equiv_pos_as_xyz
'x,y,z'
loop_
_atom_site_label
_atom_site_type_symbol
_atom_site_fract_x
_atom_site_fract_y
_atom_site_fract_z
Ag1 Ag 0.512 0.512 0.465
Fe1 Fe 0.247 0.247 0.259
Sb1 Sb 0.980 0.980 0.061
Sb2 Sb 0.762 0.762 0.714
# total magnetization	2.77	μB/f.u.
# energy relative to the elements, uncorrected	1.4	eV/f.u.
# raw total energy	-30.650	eV/atom
# Fermi-level density of states	2.07	states/eV/f.u.
# V	20.52	Å³ per atom